Record 1
Entry from Alexandria: a relaxed SrMn2Mo crystal (PBE).

The structure in extended XYZ format:
```
4
Lattice="3.215 0.000 0.000 0.000 3.215 0.000 0.000 0.000 7.588" Properties=species:S:1:pos:R:3 pbc="T T T"
Sr 0.000 0.000 0.000
Mn 1.608 1.608 2.496
Mn 1.608 1.608 5.092
Mo 0.000 0.000 3.794
```

Summary:
Energy of formation in eV/atom: 0.4903
Uncorrected energy in eV per atom: -7.2227
DOS at the Fermi energy in states/eV per atom: 0.986


Record 2
Entry from Alexandria: a relaxed TbEuTlHg crystal (PBE).

The structure in extended XYZ format:
```
4
Lattice="0.000 3.852 3.852 3.852 0.000 3.852 3.852 3.852 0.000" Properties=species:S:1:pos:R:3 pbc="T T T"
Tb 0.000 0.000 0.000
Eu 3.852 3.852 3.852
Tl 1.926 1.926 1.926
Hg 5.778 5.778 5.778
```

Summary:
Energy of formation in eV/atom: -0.4347
Uncorrected energy in eV per atom: -4.8279
DOS at the Fermi energy in states/eV per atom: 2.040


Record 3
Entry from Alexandria: a relaxed RbHSe2 crystal (PBE).

The structure in extended XYZ format:
```
4
Lattice="1.824 1.053 8.755 -1.824 1.053 8.755 0.000 -2.106 8.755" Properties=species:S:1:pos:R:3 pbc="T T T"
Rb 0.000 0.000 0.000
H 0.000 0.000 13.132
Se 0.000 0.000 11.381
Se 0.000 0.000 14.883
```

Summary:
Uncorrected energy in eV per atom: -2.7337
DOS at the Fermi energy in states/eV per atom: 0.805